{"formula": "Ba2ZrVS6", "functional": "GGA-PBE", "state": "optimized geometry", "lattice": [[-4.102, 1.144, 5.457], [0.326, -6.714, 1.652], [7.872, 1.748, 5.551]], "species": ["Ba", "Ba", "Ba", "Ba", "Zr", "Zr", "V", "V", "S", "S", "S", "S", "S", "S", "S", "S", "S", "S", "S", "S"], "fractional_positions": [[0.500, 0.750, 0.250], [0.000, 0.250, 0.750], [0.500, 0.750, 0.750], [0.000, 0.250, 0.250], [0.500, 0.249, 0.500], [0.000, 0.751, 0.000], [0.000, 0.749, 0.500], [0.500, 0.251, 0.000], [0.500, 0.250, 0.242], [0.500, 0.250, 0.758], [0.000, 0.750, 0.258], [0.000, 0.750, 0.742], [0.242, 0.992, 0.500], [0.758, 0.992, 0.500], [0.242, 0.508, 0.500], [0.758, 0.508, 0.500], [0.742, 0.492, 0.000], [0.258, 0.492, 0.000], [0.258, 0.008, 0.000], [0.742, 0.008, 0.000]], "space_group": "No. 59", "magnetic_moment_mub_per_fu": 0.8, "raw_formation_energy_mev_per_atom": -1514}